Density functional theory data (PBE) for a relaxed CaU2In9 crystal.

Output
Electronic total energy (eV per atom): -4.204
DOS(E_F) (states/eV/atom): 0.9963

a = 4.6614 Å, b = 4.6614 Å, c = 13.9845 Å
α = 90.00°, β = 90.00°, γ = 90.00°
Last column: magnetic moment on the atom in μB.
Element x y z (fractional)
In  0.0000  0.5000  0.1693  0.00
In  0.5000  0.5000  0.6651  0.01
In  0.5000  0.5000  0.0000  -0.01
In  0.0000  0.5000  0.8307  0.00
In  0.0000  0.5000  0.5000  0.01
In  0.5000  0.0000  0.8307  0.00
In  0.5000  0.5000  0.3349  0.01
In  0.5000  0.0000  0.5000  0.01
In  0.5000  0.0000  0.1693  0.00
Ca  0.0000  0.0000  0.0000  0.00
U  0.0000  0.0000  0.3352  2.44
U  0.0000  0.0000  0.6649  2.44



Density functional theory data (PBE) for a relaxed CaV2In crystal.

Output
Electronic total energy (eV per atom): -5.063
DOS(E_F) (states/eV/atom): 0.9404

a = 4.3621 Å, b = 4.3621 Å, c = 10.6007 Å
α = 78.13°, β = 78.13°, γ = 90.00°
Element x y z (fractional)
Ca  0.5000  0.5000  0.0000
Ca  0.2500  0.7500  0.5000
In  0.7500  0.2500  0.5000
In  0.0000  0.0000  0.0000
V  0.3750  0.1088  0.7500
V  0.8750  0.1412  0.7500
V  0.8588  0.6250  0.2500
V  0.8912  0.1250  0.2500